# 1
# Ba2SiPt | Alexandria via LeMat-Bulk | PBE-GGA | optimized geometry
data_Ba2SiPt
_symmetry_space_group_name_H-M 'I -4 2 d'
_symmetry_Int_Tables_number 122
_symmetry_space_group_name_Hall 'I -4 2bw'
_cell_length_a 8.6826
_cell_length_b 8.6826
_cell_length_c 7.0617
_cell_angle_alpha 90.00
_cell_angle_beta 90.00
_cell_angle_gamma 90.00
loop_
_atom_site_label
_atom_site_type_symbol
_atom_site_fract_x
_atom_site_fract_y
_atom_site_fract_z
_atom_site_occupancy
Ba1 Ba 0.2214 0.2500 0.1250 1
Si1 Si 0.0000 0.0000 0.5000 1
Pt1 Pt 0.0000 0.0000 0.0000 1
# raw formation energy	-44	meV per atom
# VASP energy	-3.87	eV/atom



# 2
# BaSi2Pt | Alexandria via LeMat-Bulk | PBE-GGA | optimized geometry
data_BaSi2Pt
_symmetry_space_group_name_H-M 'P 1 2/m 1'
_symmetry_Int_Tables_number 10
_cell_length_a 4.8272
_cell_length_b 4.1907
_cell_length_c 5.1609
_cell_angle_alpha 90.00
_cell_angle_beta 91.66
_cell_angle_gamma 90.00
loop_
_symmetry_equiv_pos_as_xyz
'x,y,z'
'-x,-y,-z'
'-x,y,-z'
'x,-y,z'
loop_
_atom_site_label
_atom_site_type_symbol
_atom_site_fract_x
_atom_site_fract_y
_atom_site_fract_z
_atom_site_occupancy
Ba1 Ba 0.0000 0.0000 0.0000 1
Si1 Si 0.2422 0.5000 0.5108 1
Pt1 Pt 0.5000 0.0000 0.5000 1
# raw formation energy	-641	meV per atom
# VASP energy	-5.34	eV/atom



Among the records above, which one has the lowest raw formation energy? BaSi2Pt